TmPu2Sc3Te6 | GGA-PBE | optimized geometry

The value obtained for the energy is -7.039 eV per atom. The size of the total moment is 24.10 Bohr magnetons per cell. Its uncorrected formation energy is -1124 meV per atom. The calculation puts the density of states at the Fermi level at 47.858 states/eV/cell.

It has space group C2/m (No. 12), with a = 18.6662 Å, b = 4.2508 Å, c = 8.5929 Å, α = 90.00°, β = 103.82° and γ = 90.00°. The inequivalent atoms are Tm at (0.0000, 0.0000, 0.0000), Pu at (0.1658, 0.5000, 0.3323), Sc at (0.0000, 0.0000, 0.5000), Sc at (0.1693, 0.5000, 0.8335), Te at (0.0058, 0.5000, 0.7469), Te at (0.1626, 0.0000, 0.5930) and Te at (0.1675, 0.0000, 0.0699).